Model 1:
The following is a DFT calculation (PBE-GGA) of crystalline Pm5SmIn2 at its relaxed geometry.

abc: 3.6898 10.9021 12.6574
angles: 90.00 90.00 90.00
Space group Immm (No. 71)
Inequivalent atoms, fractional coordinates:
Pm 0.0000 0.0000 0.0000 [2 per cell]
Pm 0.0000 0.2786 0.3619 [8 per cell]
Sm 0.0000 0.5000 0.0000 [2 per cell]
In 0.0000 0.0000 0.2708 [4 per cell]

Computed properties:
The value obtained for the density of states at the Fermi level is 23.4 states/eV per cell. The value obtained for the volume is 31.823 Å³ per atom.

***

Model 2:
The following is a DFT calculation (PBE-GGA) of crystalline Pm5SmIn2 at its relaxed geometry.

abc: 7.0042 14.0114 4.9546
angles: 90.00 90.00 90.00
Space group Pbam (No. 55)
Inequivalent atoms, fractional coordinates:
Pm 0.0000 0.0000 0.0000 [2 per cell]
Pm 0.0008 0.2503 0.0000 [4 per cell]
Pm 0.2501 0.3752 0.5000 [4 per cell]
Sm 0.0000 0.5000 0.0000 [2 per cell]
In 0.2490 0.6248 0.5000 [4 per cell]

Computed properties:
The value obtained for the density of states at the Fermi level is 24.7 states/eV per cell. The value obtained for the volume is 30.390 Å³ per atom.

***

Most stable: model 2

***

Model 1:
The following is a DFT calculation (PBE-GGA) of crystalline PmSm6In3 at its relaxed geometry.

abc: 10.6235 15.5405 7.8665
angles: 90.00 90.00 90.00
Space group Cmc2_1 (No. 36)
Inequivalent atoms, fractional coordinates:
Pm 0.0000 0.2148 0.0000 [4 per cell]
Sm 0.0000 0.0487 0.7118 [4 per cell]
Sm 0.0000 0.3052 0.5446 [4 per cell]
Sm 0.2361 0.3125 0.2077 [8 per cell]
Sm 0.2362 0.4668 0.5204 [8 per cell]
In 0.0000 0.4488 0.2349 [4 per cell]
In 0.1433 0.1345 0.3469 [8 per cell]

Computed properties:
The value obtained for the density of states at the Fermi level is 48.9 states/eV per cell. The value obtained for the volume is 32.468 Å³ per atom.

***

Model 2:
The following is a DFT calculation (PBE-GGA) of crystalline PmSm6In3 at its relaxed geometry.

abc: 10.3220 5.2499 11.3889
angles: 90.00 98.34 90.00
Space group P2_1/m (No. 11)
Inequivalent atoms, fractional coordinates:
Pm 0.0473 0.2500 0.4060 [2 per cell]
Sm 0.0699 0.7500 0.9099 [2 per cell]
Sm 0.1414 0.7500 0.2213 [2 per cell]
Sm 0.1810 0.2500 0.7209 [2 per cell]
Sm 0.2760 0.7500 0.5176 [2 per cell]
Sm 0.3640 0.2500 0.3102 [2 per cell]
Sm 0.4528 0.7500 0.0959 [2 per cell]
In 0.2451 0.2500 0.0261 [2 per cell]
In 0.3588 0.7500 0.8082 [2 per cell]
In 0.4557 0.2500 0.6091 [2 per cell]

Computed properties:
The value obtained for the density of states at the Fermi level is 22.9 states/eV per cell. The value obtained for the volume is 30.531 Å³ per atom.

***

Most stable: model 2

***

Model 1:
The following is a DFT calculation (PBE-GGA) of crystalline PmSmIn4 at its relaxed geometry.

abc: 4.7349 7.4694 9.1461
angles: 90.00 90.00 90.00
Space group Imm2 (No. 44)
Inequivalent atoms, fractional coordinates:
Pm 0.0000 0.0000 0.0000 [2 per cell]
Sm 0.0000 0.5000 0.8854 [2 per cell]
In 0.0000 0.2054 0.6022 [4 per cell]
In 0.0000 0.2938 0.2841 [4 per cell]

Computed properties:
The value obtained for the density of states at the Fermi level is 8.6 states/eV per cell. The value obtained for the volume is 26.956 Å³ per atom.

***

Model 2:
The following is a DFT calculation (PBE-GGA) of crystalline PmSmIn4 at its relaxed geometry.

abc: 8.5677 8.5677 8.5677
angles: 90.00 90.00 90.00
Space group F-43m (No. 216)
Inequivalent atoms, fractional coordinates:
Pm 0.0000 0.0000 0.0000 [4 per cell]
Sm 0.2500 0.2500 0.7500 [4 per cell]
In 0.1250 0.1250 0.3750 [16 per cell]

Computed properties:
The value obtained for the density of states at the Fermi level is 16.7 states/eV per cell. The value obtained for the volume is 26.205 Å³ per atom.

***

Most stable: model 1

***

Model 1:
The following is a DFT calculation (PBE-GGA) of crystalline Pm4Sm5In at its relaxed geometry.

abc: 10.7383 10.7383 5.9870
angles: 90.00 90.00 90.00
Space group I4mm (No. 107)
Inequivalent atoms, fractional coordinates:
Pm 0.0000 0.3121 0.0000 [8 per cell]
Sm 0.0000 0.0000 0.7919 [2 per cell]
Sm 0.1862 0.1862 0.5062 [8 per cell]
In 0.0000 0.0000 0.2728 [2 per cell]

Computed properties:
The value obtained for the density of states at the Fermi level is 27.8 states/eV per cell. The value obtained for the volume is 34.518 Å³ per atom.

***

Model 2:
The following is a DFT calculation (PBE-GGA) of crystalline Pm4Sm5In at its relaxed geometry.

abc: 4.2342 4.2342 18.2470
angles: 90.00 90.00 90.00
Space group P4/mmm (No. 123)
Inequivalent atoms, fractional coordinates:
Pm 0.0000 0.0000 0.1013 [2 per cell]
Pm 0.0000 0.0000 0.3038 [2 per cell]
Sm 0.5000 0.5000 0.0000 [1 per cell]
Sm 0.5000 0.5000 0.2065 [2 per cell]
Sm 0.5000 0.5000 0.4119 [2 per cell]
In 0.0000 0.0000 0.5000 [1 per cell]

Computed properties:
The value obtained for the density of states at the Fermi level is 17.2 states/eV per cell. The value obtained for the volume is 32.713 Å³ per atom.

***

Most stable: model 2

***

Model 1:
The following is a DFT calculation (PBE-GGA) of crystalline PmSm3In4 at its relaxed geometry.

abc: 3.5289 7.2408 19.0402
angles: 90.00 90.00 90.00
Space group Immm (No. 71)
Inequivalent atoms, fractional coordinates:
Pm 0.0000 0.0000 0.0000 [2 per cell]
Sm 0.0000 0.0000 0.5000 [2 per cell]
Sm 0.0000 0.5000 0.2811 [4 per cell]
In 0.0000 0.2906 0.1271 [8 per cell]

Computed properties:
The value obtained for the density of states at the Fermi level is 15.1 states/eV per cell. The value obtained for the volume is 30.408 Å³ per atom.

***

Model 2:
The following is a DFT calculation (PBE-GGA) of crystalline PmSm3In4 at its relaxed geometry.

abc: 3.8330 3.8330 15.3702
angles: 90.00 90.00 90.00
Space group P4/mmm (No. 123)
Inequivalent atoms, fractional coordinates:
Pm 0.0000 0.0000 0.0000 [1 per cell]
Sm 0.0000 0.0000 0.2507 [2 per cell]
Sm 0.0000 0.0000 0.5000 [1 per cell]
In 0.5000 0.5000 0.1262 [2 per cell]
In 0.5000 0.5000 0.3752 [2 per cell]

Computed properties:
The value obtained for the density of states at the Fermi level is 4.9 states/eV per cell. The value obtained for the volume is 28.227 Å³ per atom.

***

Most stable: model 2

***

Model 1:
The following is a DFT calculation (PBE-GGA) of crystalline Pm12Sm6In at its relaxed geometry.

abc: 13.2076 13.2076 13.0346
angles: 90.00 90.00 120.00
Space group R-3m (No. 166, hexagonal axes)
Inequivalent atoms, fractional coordinates:
Pm 0.0000 0.2595 0.0000 [18 per cell]
Pm 0.0608 0.5304 0.1108 [18 per cell]
Sm 0.0904 0.1807 0.7752 [18 per cell]
In 0.0000 0.0000 0.0000 [3 per cell]

Computed properties:
The value obtained for the density of states at the Fermi level is 91.2 states/eV per cell. The value obtained for the volume is 34.546 Å³ per atom.

***

Model 2:
The following is a DFT calculation (PBE-GGA) of crystalline Pm12Sm6In at its relaxed geometry.

abc: 12.1023 12.1023 15.3144
angles: 90.00 90.00 120.00
Space group R-3 (No. 148, hexagonal axes)
Inequivalent atoms, fractional coordinates:
Pm 0.0025 0.1738 0.3137 [18 per cell]
Pm 0.0464 0.8486 0.9160 [18 per cell]
Sm 0.0188 0.4287 0.1863 [18 per cell]
In 0.0000 0.0000 0.5000 [3 per cell]

Computed properties:
The value obtained for the density of states at the Fermi level is 86.1 states/eV per cell. The value obtained for the volume is 34.079 Å³ per atom.

***

Most stable: model 2

***

Model 1:
The following is a DFT calculation (PBE-GGA) of crystalline Pm2Sm8In at its relaxed geometry.

abc: 5.5483 7.7362 17.4089
angles: 90.00 90.00 90.00
Space group Immm (No. 71)
Inequivalent atoms, fractional coordinates:
Pm 0.0000 0.0000 0.1932 [4 per cell]
Sm 0.0000 0.2410 0.0000 [4 per cell]
Sm 0.0000 0.2730 0.3638 [8 per cell]
Sm 0.0000 0.5000 0.1769 [4 per cell]
In 0.0000 0.0000 0.5000 [2 per cell]

Computed properties:
The value obtained for the density of states at the Fermi level is 31.2 states/eV per cell. The value obtained for the volume is 33.965 Å³ per atom.

***

Model 2:
The following is a DFT calculation (PBE-GGA) of crystalline Pm2Sm8In at its relaxed geometry.

abc: 18.3336 5.0420 8.0533
angles: 90.00 105.39 90.00
Space group C2/m (No. 12)
Inequivalent atoms, fractional coordinates:
Pm 0.2234 0.0000 0.1350 [4 per cell]
Sm 0.0439 0.0000 0.2271 [4 per cell]
Sm 0.0893 0.5000 0.9418 [4 per cell]
Sm 0.1354 0.0000 0.6766 [4 per cell]
Sm 0.1787 0.5000 0.4086 [4 per cell]
In 0.0000 0.5000 0.5000 [2 per cell]

Computed properties:
The value obtained for the density of states at the Fermi level is 28.5 states/eV per cell. The value obtained for the volume is 32.625 Å³ per atom.

***

Most stable: model 2

***

Model 1:
The following is a DFT calculation (PBE-GGA) of crystalline Pm2Sm3In at its relaxed geometry.

abc: 5.2371 9.3437 15.7945
angles: 90.00 90.00 90.00
Space group Imma (No. 74)
Inequivalent atoms, fractional coordinates:
Pm 0.0000 0.2500 0.0237 [4 per cell]
Pm 0.0000 0.2500 0.3238 [4 per cell]
Sm 0.0000 0.0000 0.5000 [4 per cell]
Sm 0.0000 0.0380 0.8282 [8 per cell]
In 0.0000 0.2500 0.6476 [4 per cell]

Computed properties:
The value obtained for the density of states at the Fermi level is 33.3 states/eV per cell. The value obtained for the volume is 32.204 Å³ per atom.

***

Model 2:
The following is a DFT calculation (PBE-GGA) of crystalline Pm2Sm3In at its relaxed geometry.

abc: 4.9480 15.4490 4.9600
angles: 90.00 90.00 90.00
Space group Cmmm (No. 65)
Inequivalent atoms, fractional coordinates:
Pm 0.0000 0.1620 0.0000 [4 per cell]
Sm 0.0000 0.0000 0.5000 [2 per cell]
Sm 0.0000 0.3360 0.5000 [4 per cell]
In 0.0000 0.5000 0.0000 [2 per cell]

Computed properties:
The value obtained for the density of states at the Fermi level is 15.3 states/eV per cell. The value obtained for the volume is 31.596 Å³ per atom.

***

Most stable: model 2

***

Model 1:
The following is a DFT calculation (PBE-GGA) of crystalline PmSm3In2 at its relaxed geometry.

abc: 4.9827 15.5151 4.6148
angles: 90.00 90.00 90.00
Space group Cmmm (No. 65)
Inequivalent atoms, fractional coordinates:
Pm 0.0000 0.0000 0.0000 [2 per cell]
Sm 0.0000 0.1732 0.5000 [4 per cell]
Sm 0.0000 0.5000 0.5000 [2 per cell]
In 0.0000 0.3414 0.0000 [4 per cell]

Computed properties:
The value obtained for the density of states at the Fermi level is 13.9 states/eV per cell. The value obtained for the volume is 29.730 Å³ per atom.

***

Model 2:
The following is a DFT calculation (PBE-GGA) of crystalline PmSm3In2 at its relaxed geometry.

abc: 5.3153 10.0424 6.8327
angles: 90.00 90.00 90.00
Space group Pmc2_1 (No. 26)
Inequivalent atoms, fractional coordinates:
Pm 0.0000 0.0388 0.0000 [2 per cell]
Sm 0.0000 0.3221 0.6585 [2 per cell]
Sm 0.5000 0.1791 0.2755 [2 per cell]
Sm 0.5000 0.4608 0.9346 [2 per cell]
In 0.0000 0.3562 0.1806 [2 per cell]
In 0.5000 0.1446 0.7529 [2 per cell]

Computed properties:
The value obtained for the density of states at the Fermi level is 12.6 states/eV per cell. The value obtained for the volume is 30.393 Å³ per atom.

***

Most stable: model 2

***

Model 1:
The following is a DFT calculation (PBE-GGA) of crystalline Pm5Sm5In2 at its relaxed geometry.

abc: 18.2991 3.6570 13.0167
angles: 90.00 118.34 90.00
Space group C2/m (No. 12)
Inequivalent atoms, fractional coordinates:
Pm 0.0000 0.0000 0.0000 [2 per cell]
Pm 0.1278 0.0000 0.7515 [4 per cell]
Pm 0.1571 0.0000 0.4832 [4 per cell]
Sm 0.0000 0.5000 0.5000 [2 per cell]
Sm 0.1698 0.5000 0.0071 [4 per cell]
Sm 0.1957 0.0000 0.2542 [4 per cell]
In 0.0282 0.5000 0.2429 [4 per cell]

Computed properties:
The value obtained for the density of states at the Fermi level is 31.0 states/eV per cell. The value obtained for the volume is 31.945 Å³ per atom.

***

Model 2:
The following is a DFT calculation (PBE-GGA) of crystalline Pm5Sm5In2 at its relaxed geometry.

abc: 11.4601 5.3580 12.8281
angles: 90.00 92.43 90.00
Space group C2/m (No. 12)
Inequivalent atoms, fractional coordinates:
Pm 0.0000 0.0000 0.0000 [2 per cell]
Pm 0.0843 0.5000 0.8080 [4 per cell]
Pm 0.1589 0.5000 0.5084 [4 per cell]
Sm 0.0000 0.0000 0.5000 [2 per cell]
Sm 0.1272 0.0000 0.2651 [4 per cell]
Sm 0.2008 0.5000 0.0754 [4 per cell]
In 0.1822 0.0000 0.6947 [4 per cell]

Computed properties:
The value obtained for the density of states at the Fermi level is 30.3 states/eV per cell. The value obtained for the volume is 32.791 Å³ per atom.

***

Most stable: model 1